Sr2LaRe | PBE | relaxed

Calculated values
energy: -34.6 eV/cell
relative energy among the computed polymorphs: 1.49 eV per formula unit
formation enthalpy at 0 K: 0.86 eV/atom
D(E_F): 5.693 states/eV/f.u.
volume: 237.4 Å³/cell

Lattice parameters (Å, degrees): 4.6971 4.6971 10.7611 90.00 90.00 90.00
With the nearest neighbours (Å) after each atom.
Space group I4/mmm (No. 139)
Unique sites:
Sr  0.0000  0.5000  0.2500  4 Sr 3.32, 4 La 3.57, 4 Re 3.57
La  0.0000  0.0000  0.0000  4 Re 3.32, 8 Sr 3.57
Re  0.0000  0.0000  0.5000  4 La 3.32, 8 Sr 3.57

---

Sr2LaRe | PBE | relaxed

Calculated values
energy: -37.1 eV/cell
relative energy among the computed polymorphs: 0.23 eV per formula unit
formation enthalpy at 0 K: 0.54 eV/atom
D(E_F): 4.591 states/eV/f.u.
volume: 277.7 Å³/cell

Lattice parameters (Å, degrees): 3.7815 5.9376 12.3665 90.00 90.00 90.00
With the nearest neighbours (Å) after each atom.
Space group Imm2 (No. 44)
Unique sites:
Sr  0.0000  0.0000  0.0000  4 Re 3.53, 2 La 3.67, 4 Sr 3.77-3.78
Sr  0.0000  0.5000  0.1882  2 Re 3.25
La  0.0000  0.5000  0.8254  2 Re 2.64
Re  0.0000  0.0000  0.4749  2 La 2.64

---

SrLaRe | PBE | relaxed

Calculated values
energy: -66.7 eV/cell
relative energy among the computed polymorphs: 0.61 eV per formula unit
formation enthalpy at 0 K: 0.79 eV/atom
D(E_F): 3.739 states/eV/f.u.
volume: 357.8 Å³/cell

Lattice parameters (Å, degrees): 7.0996 7.0996 7.0996 90.00 90.00 90.00
With the nearest neighbours (Å) after each atom.
Space group F-43m (No. 216)
Unique sites:
Sr  0.0000  0.0000  0.0000  4 Re 3.07
La  0.0000  0.0000  0.5000  4 Re 3.07
Re  0.2500  0.2500  0.7500  4 La 3.07, 4 Sr 3.07

---

Sr2LaRe | PBE | relaxed

Calculated values
energy: -16.8 eV/cell
relative energy among the computed polymorphs: 1.97 eV per formula unit
formation enthalpy at 0 K: 0.98 eV/atom
D(E_F): 4.186 states/eV/f.u.
volume: 124.3 Å³/cell

Lattice parameters (Å, degrees): 4.1688 4.1688 7.1498 90.00 90.00 90.00
With the nearest neighbours (Å) after each atom.
Space group P4/mmm (No. 123)
Unique sites:
Sr  0.0000  0.0000  0.2089  1 Sr 2.99, 4 Re 3.30
La  0.5000  0.5000  0.5000  2 Re 3.57, 8 Sr 3.61
Re  0.5000  0.5000  0.0000  8 Sr 3.30, 2 La 3.57

---

SrLa2Re | PBE | relaxed

Calculated values
energy: -84.8 eV/cell
relative energy among the computed polymorphs: 1.87 eV per formula unit
formation enthalpy at 0 K: 0.70 eV/atom
D(E_F): 4.403 states/eV/f.u.
volume: 441.8 Å³/cell

Lattice parameters (Å, degrees): 7.6165 7.6165 7.6165 90.00 90.00 90.00
With the nearest neighbours (Å) after each atom.
Space group F-43m (No. 216)
Unique sites:
Sr  0.0000  0.0000  0.0000  4 La 3.30, 4 Re 3.30
La  0.0000  0.0000  0.5000  4 La 3.30, 4 Re 3.30
La  0.2500  0.2500  0.7500  4 La 3.30, 4 Sr 3.30
Re  0.2500  0.2500  0.2500  4 La 3.30, 4 Sr 3.30

---

SrLa2Re | PBE | relaxed

Calculated values
energy: -67.7 eV/cell
relative energy among the computed polymorphs: 0.50 eV per formula unit
formation enthalpy at 0 K: 0.35 eV/atom
D(E_F): 6.034 states/eV/f.u.
volume: 461.6 Å³/cell

Lattice parameters (Å, degrees): 4.2347 4.2347 29.7236 90.00 90.00 120.00
With the nearest neighbours (Å) after each atom.
Space group R-3m (No. 166, hexagonal axes)
Unique sites:
Sr  0.0000  0.0000  0.0000  6 La 4.22, 6 Sr 4.23
La  0.0000  0.0000  0.2177  3 Re 2.88
Re  0.0000  0.0000  0.5000  6 La 2.88

---

Sr2LaRe | PBE | relaxed

Calculated values
energy: -37.3 eV/cell
relative energy among the computed polymorphs: 0.15 eV per formula unit
formation enthalpy at 0 K: 0.52 eV/atom
D(E_F): 6.516 states/eV/f.u.
volume: 295.8 Å³/cell

Lattice parameters (Å, degrees): 3.5536 4.7251 17.6138 90.00 90.00 90.00
With the nearest neighbours (Å) after each atom.
Space group Immm (No. 71)
Unique sites:
Sr  0.0000  0.0000  0.1578  2 Re 3.30, 2 Sr 3.55, 2 La 3.65
La  0.0000  0.5000  0.0000  4 Re 2.96
Re  0.0000  0.5000  0.5000  4 La 2.96, 4 Sr 3.30

---

SrLa2Re | PBE | relaxed

Calculated values
energy: -44.8 eV/cell
relative energy among the computed polymorphs: 0.65 eV per formula unit
formation enthalpy at 0 K: 0.39 eV/atom
D(E_F): 3.450 states/eV/f.u.
volume: 250.1 Å³/cell

Lattice parameters (Å, degrees): 8.6883 4.8140 6.5972 90.00 114.98 90.00
With the nearest neighbours (Å) after each atom.
Space group C2/m (No. 12)
Unique sites:
Sr  0.0000  0.0000  0.0000  6 La 3.47-3.50
La  0.2157  0.0000  0.6617  3 Re 2.96-3.08
Re  0.0000  0.5000  0.5000  6 La 2.96-3.08